No. 1
VASP calculation (PBEsol) on a relaxed structure of Er3In.

a = 4.7057 Å, b = 4.7057 Å, c = 4.7057 Å
α = 90.00°, β = 90.00°, γ = 90.00°
Space group Pm-3m (No. 221)
Unique sites:
Er (0.0000, 0.0000, 0.5000) (multiplicity 3)
In (0.5000, 0.5000, 0.5000) (multiplicity 1)

## Properties
Density   9.83 g cm⁻³
Magnetic moment   0.0 μB/f.u.
ΔH_f (0 K)   -298.9 meV per atom

---

No. 2
VASP calculation (PBEsol) on a relaxed structure of Er3In.

a = 6.7248 Å, b = 6.7248 Å, c = 5.3446 Å
α = 90.00°, β = 90.00°, γ = 120.00°
Space group P6_3/mmc (No. 194)
Unique sites:
Er (0.1714, 0.3429, 0.2500) (multiplicity 6)
In (0.3333, 0.6667, 0.7500) (multiplicity 2)

## Properties
Density   9.78 g cm⁻³
Magnetic moment   0.0 μB/f.u.
ΔH_f (0 K)   -284.6 meV per atom